DFT (PBE-GGA) results for crystalline Na3Tl8In2 at its relaxed geometry.

a b c (Å): 12.352 12.352 12.352
angles (deg): 30.00 30.00 30.00
Sites, in units of the cell vectors:
Na 0.000 0.000 0.000
Na 0.186 0.186 0.186
Na 0.814 0.814 0.814
Tl 0.226 0.728 0.728
Tl 0.272 0.272 0.774
Tl 0.272 0.774 0.272
Tl 0.277 0.277 0.277
Tl 0.723 0.723 0.723
Tl 0.728 0.226 0.728
Tl 0.728 0.728 0.226
Tl 0.774 0.272 0.272
In 0.362 0.362 0.362
In 0.638 0.638 0.638

Output
The space-group type is No. 166. As for the calculated volume: 417 Å³/f.u. Its polymorph energy (0 for the lowest one) is 59 meV per atom. Its calculated formation energy is 0.02 eV per atom.